A plane-wave DFT calculation with GGA-PBE was carried out for crystalline Nb2HgPtF at its relaxed geometry.

The uncorrected formation energy comes out at 3.09 eV per formula unit. As for the density: 9.51 Mg/m³.

The space group is P4/mmm (No. 123) and the conventional cell measures 5.041, 5.041 and 4.124 Å, with angles of 90.00, 90.00 and 90.00 degrees. The asymmetric unit holds Nb at (0.000, 0.500, 0.000), Hg at (0.000, 0.000, 0.500), Pt at (0.500, 0.500, 0.000) and F at (0.500, 0.500, 0.500).